Density functional theory data (PBE) for crystalline ZrIn2Pt at its relaxed geometry.

Results
* magnetic moment: 0.0 μB/f.u.
* energy of formation from the pure elements: -1.56 eV per formula unit
* calculated total energy: -0.39738 Ry/atom

Cell lengths 3.264, 3.264, 7.565 Å; angles 90.00, 90.00, 90.00 degrees
Positions (direct):
1 Pt 0.500 0.500 0.250
2 In 0.000 0.000 0.027
3 In 0.000 0.000 0.473
4 Zr 0.500 0.500 0.750